# Hf2NiIr

A geometry-optimized Hf2NiIr structure (GGA-PBE, Alexandria).

abc: 4.5669 4.5669 3.2552
angles: 90.00 90.00 90.00
Closest atoms and distances in Å follow each position.
Atoms (fractional coordinates):
1 Hf 0.0000 0.5000 0.0000  4 Ir 2.80, 4 Ni 2.80
2 Hf 0.5000 0.0000 0.0000  4 Ir 2.80, 4 Ni 2.80
3 Ni 0.0000 0.0000 0.5000  8 Hf 2.80
4 Ir 0.5000 0.5000 0.5000  8 Hf 2.80

Computed properties:
formation enthalpy at 0 K: -0.695 eV/atom
total magnetization: 0.0 μB/f.u.
VASP energy: -9.33 eV/atom